*a*
Compound: Sm3Hg2Pd3
Source: Alexandria via LeMat-Bulk
Functional: PBE
Structure: relaxed Values from VASP.

Space-group type: Immm

Geometry as Quantum ESPRESSO input:
```
&SYSTEM
  ibrav = 0, nat = 8, ntyp = 3
/
ATOMIC_SPECIES
Sm 150.36 Sm.upf
Hg 200.59 Hg.upf
Pd 106.42 Pd.upf
ATOMIC_POSITIONS angstrom
Sm 0.000 0.000 0.000
Sm 1.855 0.000 7.323
Sm 0.000 2.509 2.560
Hg 0.000 0.000 4.623
Hg 0.000 0.000 15.142
Pd 1.855 0.000 2.308
Pd 0.000 0.000 9.883
Pd 0.000 2.509 7.575
CELL_PARAMETERS angstrom
-1.855 2.509 9.883
1.855 -2.509 9.883
1.855 2.509 -9.883
```

*b*
Compound: Sm3Hg2Pd3
Source: Alexandria via LeMat-Bulk
Functional: PBE
Structure: relaxed Values from VASP.

Space-group type: P6_3/mcm

Geometry as Quantum ESPRESSO input:
```
&SYSTEM
  ibrav = 0, nat = 16, ntyp = 3
/
ATOMIC_SPECIES
Sm 150.36 Sm.upf
Hg 200.59 Hg.upf
Pd 106.42 Pd.upf
ATOMIC_POSITIONS angstrom
Sm -1.231 2.133 1.484
Sm -3.079 5.334 4.451
Sm 2.463 0.000 1.484
Sm 1.231 2.133 4.451
Sm 6.159 0.000 4.451
Sm 3.079 5.334 1.484
Hg 0.000 4.978 0.000
Hg 0.000 4.978 2.967
Hg 4.311 2.489 0.000
Hg 4.311 2.489 2.967
Pd -1.616 2.800 4.451
Pd -2.694 4.667 1.484
Pd 3.233 0.000 4.451
Pd 1.616 2.800 1.484
Pd 5.389 0.000 1.484
Pd 2.694 4.667 4.451
CELL_PARAMETERS angstrom
8.622 0.000 0.000
-4.311 7.466 0.000
0.000 0.000 5.934
```

The structure with the greatest stability is *a*.

*a*
Compound: Sm3HgPd
Source: Alexandria via LeMat-Bulk
Functional: PBE
Structure: relaxed Values from VASP.

Space-group type: Cmmm

Geometry as Quantum ESPRESSO input:
```
&SYSTEM
  ibrav = 0, nat = 10, ntyp = 3
/
ATOMIC_SPECIES
Sm 150.36 Sm.upf
Hg 200.59 Hg.upf
Pd 106.42 Pd.upf
ATOMIC_POSITIONS angstrom
Sm 5.015 5.065 0.000
Sm 3.068 1.753 1.981
Sm 3.068 -1.753 1.981
Sm 6.962 1.753 1.981
Sm 6.962 -1.753 1.981
Sm 5.015 -5.065 0.000
Hg 0.000 0.000 1.981
Hg 5.015 0.000 0.000
Pd 2.507 3.783 0.000
Pd 2.507 -3.783 0.000
CELL_PARAMETERS angstrom
5.015 -7.567 0.000
5.015 7.567 0.000
0.000 0.000 3.961
```

*b*
Compound: Sm3HgPd
Source: Alexandria via LeMat-Bulk
Functional: PBE
Structure: relaxed Values from VASP.

Space-group type: P2_1/c

Geometry as Quantum ESPRESSO input:
```
&SYSTEM
  ibrav = 0, nat = 20, ntyp = 3
/
ATOMIC_SPECIES
Sm 150.36 Sm.upf
Hg 200.59 Hg.upf
Pd 106.42 Pd.upf
ATOMIC_POSITIONS angstrom
Sm 0.218 0.101 1.682
Sm -1.055 3.800 5.584
Sm 1.340 1.172 4.816
Sm 2.612 2.729 0.914
Sm 2.199 5.320 3.774
Sm 0.927 6.381 7.676
Sm 5.955 1.420 0.127
Sm 4.682 2.481 4.029
Sm 4.270 5.073 6.889
Sm 5.542 6.629 2.987
Sm 7.936 4.001 2.219
Sm 6.664 7.700 6.121
Hg 0.598 5.256 0.367
Hg -0.674 6.446 4.268
Hg 7.556 1.355 3.535
Hg 6.284 2.545 7.436
Pd 3.127 0.330 2.463
Pd 1.855 3.571 6.365
Pd 5.027 4.230 1.438
Pd 3.755 7.471 5.340
CELL_PARAMETERS angstrom
9.426 0.000 0.000
0.000 7.801 0.000
-2.545 0.000 7.803
```

The structure with the greatest stability is *b*.

*a*
Compound: SmHg2Pd5
Source: Alexandria via LeMat-Bulk
Functional: PBE
Structure: relaxed Values from VASP.

Space-group type: C2/m

Geometry as Quantum ESPRESSO input:
```
&SYSTEM
  ibrav = 0, nat = 8, ntyp = 3
/
ATOMIC_SPECIES
Sm 150.36 Sm.upf
Hg 200.59 Hg.upf
Pd 106.42 Pd.upf
ATOMIC_POSITIONS angstrom
Sm 0.000 0.000 0.000
Hg 0.009 0.000 4.068
Hg 3.024 0.000 3.978
Pd 1.510 1.504 2.045
Pd 1.523 1.504 6.000
Pd 3.012 0.000 0.000
Pd 1.510 -1.504 2.045
Pd 1.523 -1.504 6.000
CELL_PARAMETERS angstrom
3.012 -3.013 0.000
3.012 3.013 0.000
-2.990 0.000 8.046
```

*b*
Compound: SmHg2Pd5
Source: Alexandria via LeMat-Bulk
Functional: PBE
Structure: relaxed Values from VASP.

Space-group type: Immm

Geometry as Quantum ESPRESSO input:
```
&SYSTEM
  ibrav = 0, nat = 8, ntyp = 3
/
ATOMIC_SPECIES
Sm 150.36 Sm.upf
Hg 200.59 Hg.upf
Pd 106.42 Pd.upf
ATOMIC_POSITIONS angstrom
Sm 0.000 0.000 0.000
Hg 2.095 0.000 3.679
Hg 0.000 2.937 2.830
Pd 2.095 1.528 -1.395
Pd 2.095 1.528 1.395
Pd 0.000 2.937 0.000
Pd 0.000 1.409 5.114
Pd 0.000 1.409 7.904
CELL_PARAMETERS angstrom
-2.095 2.937 6.509
2.095 -2.937 6.509
2.095 2.937 -6.509
```

The structure with the greatest stability is *a*.

*a*
Compound: Sm4HgPd
Source: Alexandria via LeMat-Bulk
Functional: PBE
Structure: relaxed Values from VASP.

Space-group type: P2_1/c

Geometry as Quantum ESPRESSO input:
```
&SYSTEM
  ibrav = 0, nat = 12, ntyp = 3
/
ATOMIC_SPECIES
Sm 150.36 Sm.upf
Hg 200.59 Hg.upf
Pd 106.42 Pd.upf
ATOMIC_POSITIONS angstrom
Sm 1.013 1.167 1.253
Sm 0.774 2.509 4.819
Sm 2.372 4.771 0.890
Sm 2.133 6.255 4.456
Sm 4.699 1.095 2.676
Sm 4.460 2.580 6.242
Sm 6.058 4.842 2.313
Sm 5.819 6.184 5.879
Hg 3.655 0.000 0.000
Hg 3.416 3.675 3.566
Pd -0.240 0.000 3.566
Pd 0.000 3.675 0.000
CELL_PARAMETERS angstrom
7.311 0.000 0.000
0.000 7.351 0.000
-0.479 0.000 7.132
```

*b*
Compound: Sm4HgPd
Source: Alexandria via LeMat-Bulk
Functional: PBE
Structure: relaxed Values from VASP.

Space-group type: F-43m

Geometry as Quantum ESPRESSO input:
```
&SYSTEM
  ibrav = 0, nat = 24, ntyp = 3
/
ATOMIC_SPECIES
Sm 150.36 Sm.upf
Hg 200.59 Hg.upf
Pd 106.42 Pd.upf
ATOMIC_POSITIONS angstrom
Sm 6.971 6.971 2.590
Sm 6.971 2.590 6.971
Sm 11.352 6.971 6.971
Sm 5.509 5.509 5.509
Sm 8.432 8.432 5.509
Sm 8.432 5.509 8.432
Sm 10.456 10.456 7.790
Sm 10.456 7.790 10.456
Sm 13.123 10.456 10.456
Sm 2.590 6.971 6.971
Sm 6.971 11.352 6.971
Sm 5.509 8.432 8.432
Sm 6.971 6.971 11.352
Sm 7.790 10.456 10.456
Sm 10.456 13.123 10.456
Sm 10.456 10.456 13.123
Hg 2.293 2.293 2.293
Hg 4.678 4.678 2.293
Hg 4.678 2.293 4.678
Hg 2.293 4.678 4.678
Pd 8.437 5.505 5.505
Pd 5.505 8.437 5.505
Pd 5.505 5.505 8.437
Pd 8.437 8.437 8.437
CELL_PARAMETERS angstrom
0.000 6.971 6.971
6.971 0.000 6.971
6.971 6.971 0.000
```

The structure with the greatest stability is *b*.